No. 1
# K2In

An optimized crystal structure of K2In (PBE, Alexandria via LeMat-Bulk).

abc: 4.293 4.293 15.586
angles: 90.00 90.00 90.00
Space group I4/mmm (No. 139)
One atom of each set of equivalent atoms:
K 0.000 0.000 0.138 x4
In 0.000 0.000 0.500 x2

Calculated values
The energy above the most stable polymorph in this dataset is 79 meV per atom. As for the theoretical density: 2.2 g/cm³. Its energy is -1.60 eV per atom. The volume comes out at 287.2 Å³/cell. For the formation energy, the calculation gives 13 kJ/mol of formula units.

---

No. 2
# KIn

An optimized crystal structure of KIn (PBE, Alexandria via LeMat-Bulk).

abc: 6.0996 6.0996 7.1803
angles: 90.00 90.00 120.00
Space group P6_3/mmc (No. 194)
One atom of each set of equivalent atoms:
K 0.3333 0.6667 0.2500 x2
In 0.3333 0.6667 0.7500 x2

Calculated values
As for the theoretical density: 2.2 g/cm³. Its energy is -1.46 eV per atom. The volume comes out at 231.4 Å³/cell. For the formation energy, the calculation gives 88 kJ/mol of formula units.

---

No. 3
# KIn

An optimized crystal structure of KIn (PBE, Alexandria via LeMat-Bulk).

abc: 5.2835 5.2835 19.0969
angles: 90.00 90.00 120.00
Space group R-3m (No. 166, hexagonal axes)
One atom of each set of equivalent atoms:
K 0.0000 0.0000 0.1068 x6
In 0.0000 0.0000 0.3340 x6

Calculated values
As for the theoretical density: 3.3 g/cm³. Its energy is -2.03 eV per atom. The volume comes out at 461.7 Å³/cell. For the formation energy, the calculation gives -21 kJ/mol of formula units.